Entry 1:
Ac2Ga9Rh3: optimized geometry, PBE.

Structure (POSCAR):
```
Ac2Ga9Rh3
1.0
-2.4511 6.1097 4.2558
-2.4690 -0.9500 -7.3790
-5.1885 -9.0527 2.9174
Ga Rh Ac
18 6 4
Direct
0.3286 0.2819 0.2479
0.1269 0.8769 0.2500
0.5348 0.1810 0.5506
0.1269 0.1403 0.4258
0.8731 0.8597 0.5742
0.8696 0.0158 0.0506
0.5340 0.0807 0.2521
0.4660 0.9193 0.7479
0.4652 0.8190 0.4494
0.5434 0.3500 0.0749
0.7751 0.4685 0.4251
0.6714 0.7181 0.7521
0.1304 0.9842 0.9494
0.4566 0.6500 0.9251
0.2249 0.5315 0.5749
0.2145 0.7010 0.0742
0.7855 0.2990 0.9258
0.8731 0.1231 0.7500
0.1638 0.8299 0.5007
0.8362 0.1701 0.4993
0.1708 0.3370 0.0007
0.5000 0.0000 0.0000
0.8292 0.6630 0.9993
0.5000 0.5000 0.5000
0.3357 0.2487 0.7501
0.0013 0.4144 0.2501
0.6643 0.7512 0.2499
0.9987 0.5856 0.7499
```

Properties
Space-group type: No. 15
Formation enthalpy at 0 K, eV per atom: -0.637

=====

Entry 2:
Ac2Ga4Rh5: optimized geometry, PBE.

Structure (POSCAR):
```
Ac2Ga4Rh5
1.0
-4.4888 -2.2666 3.0590
-2.3061 -5.0720 -1.4794
2.5431 -4.6083 5.9801
Ga Rh Ac
4 5 2
Direct
0.4682 0.3211 0.7424
0.7893 0.6789 0.7424
0.2107 0.3211 0.2576
0.5318 0.6789 0.2576
0.0000 0.5000 0.0000
0.2500 0.5000 0.5000
0.5000 0.0000 0.0000
0.7500 0.5000 0.5000
0.5000 0.5000 0.0000
0.1287 0.0000 0.7425
0.8713 0.0000 0.2575
```

Properties
Space-group type: No. 69
Formation enthalpy at 0 K, eV per atom: -0.793

=====

Entry 3:
Ac3Ga2Rh: optimized geometry, PBE.

Structure (POSCAR):
```
Ac3Ga2Rh
1.0
4.3438 0.0000 0.0000
0.0000 12.9823 0.0000
0.0000 0.0000 12.8456
Ga Rh Ac
8 4 12
Direct
0.2500 0.0063 0.3077
0.7500 0.3151 0.5215
0.2500 0.4937 0.8077
0.2500 0.6849 0.4785
0.7500 0.9937 0.6923
0.7500 0.5063 0.1923
0.2500 0.8151 0.9785
0.7500 0.1849 0.0215
0.2500 0.3774 0.6350
0.7500 0.8774 0.8650
0.7500 0.6226 0.3650
0.2500 0.1226 0.1350
0.7500 0.2064 0.2742
0.7500 0.8698 0.4520
0.7500 0.9502 0.1174
0.7500 0.6302 0.9520
0.2500 0.0498 0.8826
0.2500 0.1302 0.5480
0.2500 0.4502 0.3826
0.7500 0.2936 0.7742
0.2500 0.7064 0.2258
0.2500 0.3698 0.0480
0.2500 0.7936 0.7258
0.7500 0.5498 0.6173
```

Properties
Space-group type: No. 62
Formation enthalpy at 0 K, eV per atom: -0.566

=====

Entry 4:
Ac3GaSb2Rh9: optimized geometry, PBE.

Structure (POSCAR):
```
Ac3GaSb2Rh9
1.0
-2.7550 -2.8153 -5.6503
0.8809 -3.8126 5.6683
-7.5593 2.1447 2.6172
Rh Sb Ac Ga
9 2 3 1
Direct
0.1342 0.2685 0.2797
0.8658 0.1342 0.7203
0.7315 0.8658 0.2797
0.0000 0.5000 0.0000
0.2685 0.1342 0.7203
0.1342 0.8658 0.2797
0.8658 0.7315 0.7203
0.5000 0.0000 0.0000
0.5000 0.5000 0.0000
0.6667 0.3333 0.7952
0.3333 0.6667 0.2048
0.6667 0.3333 0.3004
0.0000 0.0000 0.0000
0.3333 0.6667 0.6996
0.0000 0.0000 0.5000
```

Properties
Raw formation energy, eV/atom: -0.3163
Space-group type: No. 164